No. 1
The following is a DFT calculation (PBE-GGA) of crystalline Cs2NaSiP2 at its relaxed geometry.

The value obtained for the calculated density is 2.61 g/cm³. The value obtained for the uncorrected formation energy is -377 meV per atom.

The space group is Ibam (No. 72) and the conventional cell measures 6.7900, 23.2058 and 6.1209 Å, with angles of 90.00, 90.00 and 90.00 degrees. The distinct sites, in fractional coordinates, are Cs at (0.2392, 0.1461, 0.0000), Na at (0.0000, 0.5000, 0.2500), Si at (0.0000, 0.0000, 0.2500) and P at (0.1823, 0.0512, 0.5000).

---

No. 2
The following is a DFT calculation (PBE-GGA) of crystalline Tb4CdFe at its relaxed geometry.

As for the formation enthalpy at 0 K: -0.11 eV per atom. The value obtained for the calculated density is 8.32 g/cm³.

The space group is C2/c (No. 15) and the conventional cell measures 8.7510, 12.5656 and 6.0945 Å, with angles of 90.00, 106.78 and 90.00 degrees. The distinct sites, in fractional coordinates, are Tb at (0.1040, 0.1626, 0.0436), Tb at (0.2181, 0.4173, 0.3928), Cd at (0.0000, 0.3743, 0.7500) and Fe at (0.0000, 0.0012, 0.2500).